Material: Li2Ga3Cu4
Method: DFT, GGA-PBE
State: optimized geometry Values from VASP.

```
&SYSTEM
  ibrav = 0, nat = 9, ntyp = 3
/
ATOMIC_SPECIES
Li 6.94 Li.upf
Ga 69.72 Ga.upf
Cu 63.55 Cu.upf
CELL_PARAMETERS angstrom
3.9688 -1.9738 0.0000
3.9688 1.9738 0.0000
-1.6435 0.0000 7.6577
ATOMIC_POSITIONS angstrom
Li 1.0255 0.0000 1.6839
Li 5.2686 0.0000 5.9739
Ga 0.3364 0.0000 4.3880
Ga 3.9688 0.0000 0.0000
Ga 5.9577 0.0000 3.2697
Cu -0.1791 0.0000 6.8407
Cu 2.7456 0.0000 5.0913
Cu 3.5485 0.0000 2.5664
Cu 6.4732 0.0000 0.8171
```

- Space-group type: C2/m
- Total energy: -30.9 eV/f.u.
- Excess energy over the best structure of this formula in the dataset: 0 meV per atom